[1]
The following is a DFT calculation (GGA-PBE) of an optimized crystal structure of LiPmScRh.

Results
For the density of states at the Fermi level, the calculation gives 2.984 states/eV/cell. The formation energy comes out at -423 meV per atom. As for the space group: F-43m, No. 216. The value obtained for the theoretical density is 6118 kg/m3.

Cell: 4.864 4.864 4.864 Å, 60.00 60.00 60.00°
Fractional coordinates of all 4 atoms:
Li 0.000 0.000 0.000
Pm 0.750 0.750 0.750
Sc 0.250 0.250 0.250
Rh 0.500 0.500 0.500



[2]
The following is a DFT calculation (GGA-PBE) of an optimized crystal structure of LiPmSi2Rh.

Results
For the density of states at the Fermi level, the calculation gives 2.876 states/eV/cell. As for the space group: I-4m2, No. 119. The value obtained for the theoretical density is 6019 kg/m3. The uncorrected formation energy comes out at -3.84 eV per formula unit.

Cell: 5.831 5.831 5.831 Å, 138.60 138.60 59.99°
Fractional coordinates of all 5 atoms:
Li 0.000 0.000 0.000
Pm 0.750 0.250 0.500
Si 0.131 0.631 0.500
Si 0.369 0.869 0.500
Rh 0.500 0.500 0.000



[3]
The following is a DFT calculation (GGA-PBE) of an optimized crystal structure of LiPmSmRh.

Results
For the density of states at the Fermi level, the calculation gives 3.040 states/eV/cell. The formation energy comes out at -381 meV per atom. As for the space group: F-43m, No. 216. The value obtained for the theoretical density is 7377 kg/m3.

Cell: 5.053 5.053 5.053 Å, 60.00 60.00 60.00°
Fractional coordinates of all 4 atoms:
Li 0.000 0.000 0.000
Pm 0.250 0.250 0.250
Sm 0.750 0.750 0.750
Rh 0.500 0.500 0.500



[4]
The following is a DFT calculation (GGA-PBE) of an optimized crystal structure of LiPmSn4Rh2.

Results
For the density of states at the Fermi level, the calculation gives 2.581 states/eV/cell. The formation energy comes out at -536 meV per atom. As for the space group: R-3m, No. 166. The value obtained for the theoretical density is 8383 kg/m3.

Cell: 9.481 9.481 9.481 Å, 27.91 27.91 27.91°
Fractional coordinates of all 8 atoms:
Li 0.000 0.000 0.000
Pm 0.500 0.500 0.500
Sn 0.104 0.104 0.104
Sn 0.371 0.371 0.371
Sn 0.629 0.629 0.629
Sn 0.896 0.896 0.896
Rh 0.268 0.268 0.268
Rh 0.732 0.732 0.732



[5]
The following is a DFT calculation (GGA-PBE) of an optimized crystal structure of LiPm2Sn2Rh5.

Results
For the density of states at the Fermi level, the calculation gives 10.497 states/eV/cell. The formation energy comes out at -420 meV per atom. As for the space group: P4/mbm, No. 127. The value obtained for the theoretical density is 9037 kg/m3.

Cell: 10.331 10.331 3.612 Å, 90.00 90.00 90.00°
Fractional coordinates of all 20 atoms:
Li 0.000 0.000 0.000
Li 0.500 0.500 0.000
Pm 0.168 0.332 0.000
Pm 0.332 0.832 0.000
Pm 0.668 0.168 0.000
Pm 0.832 0.668 0.000
Sn 0.132 0.632 0.000
Sn 0.368 0.132 0.000
Sn 0.632 0.868 0.000
Sn 0.868 0.368 0.000
Rh 0.000 0.500 0.500
Rh 0.055 0.803 0.500
Rh 0.197 0.055 0.500
Rh 0.303 0.555 0.500
Rh 0.445 0.303 0.500
Rh 0.500 0.000 0.500
Rh 0.555 0.697 0.500
Rh 0.697 0.445 0.500
Rh 0.803 0.945 0.500
Rh 0.945 0.197 0.500



[6]
The following is a DFT calculation (GGA-PBE) of an optimized crystal structure of Li2PmSn4Rh.

Results
For the density of states at the Fermi level, the calculation gives 3.594 states/eV/cell. The formation energy comes out at -438 meV per atom. As for the space group: R-3m, No. 166. The value obtained for the theoretical density is 7077 kg/m3.

Cell: 9.584 9.584 9.584 Å, 28.13 28.13 28.13°
Fractional coordinates of all 8 atoms:
Li 0.239 0.239 0.239
Li 0.761 0.761 0.761
Pm 0.000 0.000 0.000
Sn 0.130 0.130 0.130
Sn 0.397 0.397 0.397
Sn 0.603 0.603 0.603
Sn 0.870 0.870 0.870
Rh 0.500 0.500 0.500



[7]
The following is a DFT calculation (GGA-PBE) of an optimized crystal structure of LiPmSn2Rh.

Results
For the density of states at the Fermi level, the calculation gives 3.841 states/eV/cell. The formation energy comes out at -575 meV per atom. As for the space group: I-4m2, No. 119. The value obtained for the theoretical density is 7384 kg/m3.

Cell: 6.491 6.491 6.491 Å, 140.29 140.29 57.41°
Fractional coordinates of all 5 atoms:
Li 0.000 0.000 0.000
Pm 0.750 0.250 0.500
Sn 0.125 0.625 0.500
Sn 0.375 0.875 0.500
Rh 0.500 0.500 0.000



[8]
The following is a DFT calculation (GGA-PBE) of an optimized crystal structure of LiPmTeRh.

Results
For the density of states at the Fermi level, the calculation gives 3.670 states/eV/cell. As for the space group: F-43m, No. 216. The value obtained for the theoretical density is 7964 kg/m3. The uncorrected formation energy comes out at -2.47 eV per formula unit.

Cell: 4.831 4.831 4.831 Å, 60.00 60.00 60.00°
Fractional coordinates of all 4 atoms:
Li 0.000 0.000 0.000
Pm 0.750 0.750 0.750
Te 0.250 0.250 0.250
Rh 0.500 0.500 0.500



[9]
The following is a DFT calculation (GGA-PBE) of an optimized crystal structure of LiPmThRh.

Results
For the density of states at the Fermi level, the calculation gives 3.755 states/eV/cell. The formation energy comes out at -285 meV per atom. As for the space group: F-43m, No. 216. The value obtained for the theoretical density is 8721 kg/m3.

Cell: 5.080 5.080 5.080 Å, 60.00 60.00 60.00°
Fractional coordinates of all 4 atoms:
Li 0.000 0.000 0.000
Pm 0.250 0.250 0.250
Th 0.750 0.750 0.750
Rh 0.500 0.500 0.500



[10]
The following is a DFT calculation (GGA-PBE) of an optimized crystal structure of LiPmTiRh.

Results
For the density of states at the Fermi level, the calculation gives 3.147 states/eV/cell. The formation energy comes out at -176 meV per atom. As for the space group: F-43m, No. 216. The value obtained for the theoretical density is 6617 kg/m3.

Cell: 4.754 4.754 4.754 Å, 60.00 60.00 60.00°
Fractional coordinates of all 4 atoms:
Li 0.000 0.000 0.000
Pm 0.250 0.250 0.250
Ti 0.750 0.750 0.750
Rh 0.500 0.500 0.500



[11]
The following is a DFT calculation (GGA-PBE) of an optimized crystal structure of LiPmTlRh.

Results
For the density of states at the Fermi level, the calculation gives 4.769 states/eV/cell. The formation energy comes out at -369 meV per atom. As for the space group: F-43m, No. 216. The value obtained for the theoretical density is 9384 kg/m3.

Cell: 4.862 4.862 4.862 Å, 60.00 60.00 60.00°
Fractional coordinates of all 4 atoms:
Li 0.000 0.000 0.000
Pm 0.250 0.250 0.250
Tl 0.750 0.750 0.750
Rh 0.500 0.500 0.500



[12]
The following is a DFT calculation (GGA-PBE) of an optimized crystal structure of LiPmTm2Rh4.

Results
For the density of states at the Fermi level, the calculation gives 2.520 states/eV/cell. The formation energy comes out at -703 meV per atom. As for the space group: R-3m, No. 166. The value obtained for the theoretical density is 10118 kg/m3.

Cell: 8.228 8.228 8.228 Å, 33.11 33.11 33.11°
Fractional coordinates of all 8 atoms:
Li 0.000 0.000 0.000
Pm 0.500 0.500 0.500
Tm 0.259 0.259 0.259
Tm 0.741 0.741 0.741
Rh 0.121 0.121 0.121
Rh 0.376 0.376 0.376
Rh 0.624 0.624 0.624
Rh 0.879 0.879 0.879



[13]
The following is a DFT calculation (GGA-PBE) of an optimized crystal structure of LiPm2URh6.

Results
For the density of states at the Fermi level, the calculation gives 6.469 states/eV/cell. The formation energy comes out at -377 meV per atom. As for the space group: C2/m, No. 12. The value obtained for the theoretical density is 9962 kg/m3.

Cell: 5.989 5.989 7.092 Å, 115.04 115.04 59.95°
Fractional coordinates of all 10 atoms:
Li 0.000 0.000 0.000
Pm 0.233 0.233 0.699
Pm 0.767 0.767 0.301
U 0.500 0.500 0.500
Rh 0.243 0.243 0.204
Rh 0.243 0.720 0.205
Rh 0.280 0.757 0.795
Rh 0.720 0.243 0.205
Rh 0.757 0.280 0.795
Rh 0.757 0.757 0.796



[14]
The following is a DFT calculation (GGA-PBE) of an optimized crystal structure of LiPm2ZnRh2.

Results
For the density of states at the Fermi level, the calculation gives 4.128 states/eV/cell. The formation energy comes out at -575 meV per atom. As for the space group: Ibam, No. 72. The value obtained for the theoretical density is 7846 kg/m3.

Cell: 8.464 8.464 8.464 Å, 140.90 56.67 140.66°
Fractional coordinates of all 12 atoms:
Li 0.250 0.250 0.000
Li 0.750 0.750 0.000
Pm 0.169 0.249 0.418
Pm 0.331 0.749 0.080
Pm 0.669 0.251 0.920
Pm 0.831 0.751 0.582
Zn 0.250 0.750 0.500
Zn 0.750 0.250 0.500
Rh 0.124 0.745 0.869
Rh 0.376 0.245 0.621
Rh 0.624 0.755 0.379
Rh 0.876 0.255 0.131



[15]
The following is a DFT calculation (GGA-PBE) of an optimized crystal structure of LiPm2Ru.

Results
For the density of states at the Fermi level, the calculation gives 3.325 states/eV/cell. The formation energy comes out at -173 meV per atom. As for the space group: Immm, No. 71. The value obtained for the theoretical density is 7311 kg/m3.

Cell: 5.038 5.038 5.038 Å, 120.08 119.98 89.95°
Fractional coordinates of all 4 atoms:
Li 0.000 0.000 0.000
Pm 0.250 0.750 0.500
Pm 0.750 0.250 0.500
Ru 0.500 0.500 0.000



[16]
The following is a DFT calculation (GGA-PBE) of an optimized crystal structure of LiPm3Ru.

Results
For the density of states at the Fermi level, the calculation gives 4.744 states/eV/cell. The formation energy comes out at 14 meV per atom. As for the space group: Pm-3m, No. 221. The value obtained for the theoretical density is 5422 kg/m3.

Cell: 5.499 5.499 5.499 Å, 90.00 90.00 90.00°
Fractional coordinates of all 5 atoms:
Li 0.000 0.000 0.000
Pm 0.000 0.500 0.500
Pm 0.500 0.000 0.500
Pm 0.500 0.500 0.000
Ru 0.500 0.500 0.500



[17]
The following is a DFT calculation (GGA-PBE) of an optimized crystal structure of LiPmRu.

Results
The calculation puts the excess energy over the best structure of this formula in the dataset at 210.4 meV/atom. For the density of states at the Fermi level, the calculation gives 5.942 states/eV/cell. The formation energy comes out at 257 meV per atom. As for the space group: I4/mmm, No. 139. The value obtained for the theoretical density is 5611 kg/m3.

Cell: 10.817 10.817 10.817 Å, 159.87 159.87 28.61°
Fractional coordinates of all 6 atoms:
Li 0.066 0.066 0.000
Li 0.934 0.934 0.000
Pm 0.339 0.339 0.000
Pm 0.661 0.661 0.000
Ru 0.214 0.214 0.000
Ru 0.786 0.786 0.000



[18]
The following is a DFT calculation (GGA-PBE) of an optimized crystal structure of LiPm4Ru2.

Results
The calculation puts the excess energy over the best structure of this formula in the dataset at 109.9 meV/atom. For the density of states at the Fermi level, the calculation gives 11.843 states/eV/cell. The formation energy comes out at -74 meV per atom. As for the space group: P1, No. 1. The value obtained for the theoretical density is 7190 kg/m3.

Cell: 7.203 7.311 7.493 Å, 93.00 112.13 91.96°
Fractional coordinates of all 14 atoms:
Li 0.000 0.000 0.000
Li 0.426 0.964 0.907
Pm 0.021 0.703 0.716
Pm 0.114 0.237 0.672
Pm 0.294 0.263 0.247
Pm 0.370 0.716 0.248
Pm 0.541 0.578 0.739
Pm 0.632 0.096 0.636
Pm 0.770 0.266 0.179
Pm 0.861 0.747 0.226
Ru 0.136 0.513 0.438
Ru 0.244 0.934 0.484
Ru 0.707 0.456 0.471
Ru 0.949 0.447 0.965



[19]
The following is a DFT calculation (GGA-PBE) of an optimized crystal structure of LiPm12Ru6.

Results
For the density of states at the Fermi level, the calculation gives 12.030 states/eV/cell. The formation energy comes out at -25 meV per atom. As for the space group: R-3, No. 148. The value obtained for the theoretical density is 7147 kg/m3.

Cell: 8.375 8.375 8.375 Å, 101.44 101.44 101.44°
Fractional coordinates of all 19 atoms:
Li 0.000 0.000 0.000
Pm 0.074 0.918 0.666
Pm 0.082 0.334 0.926
Pm 0.177 0.554 0.412
Pm 0.334 0.926 0.082
Pm 0.412 0.177 0.554
Pm 0.446 0.588 0.823
Pm 0.554 0.412 0.177
Pm 0.588 0.823 0.446
Pm 0.666 0.074 0.918
Pm 0.823 0.446 0.588
Pm 0.918 0.666 0.074
Pm 0.926 0.082 0.334
Ru 0.138 0.304 0.609
Ru 0.304 0.609 0.138
Ru 0.391 0.862 0.696
Ru 0.609 0.138 0.304
Ru 0.696 0.391 0.862
Ru 0.862 0.696 0.391



[20]
The following is a DFT calculation (GGA-PBE) of an optimized crystal structure of LiPmRu4.

Results
For the density of states at the Fermi level, the calculation gives 7.752 states/eV/cell. The formation energy comes out at 114 meV per atom. As for the space group: F-43m, No. 216. The value obtained for the theoretical density is 8869 kg/m3.

Cell: 5.281 5.281 5.281 Å, 60.00 60.00 60.00°
Fractional coordinates of all 6 atoms:
Li 0.000 0.000 0.000
Pm 0.750 0.750 0.750
Ru 0.374 0.374 0.374
Ru 0.374 0.374 0.877
Ru 0.374 0.877 0.374
Ru 0.877 0.374 0.374